[1]
Density functional theory data (PBE-GGA) for a relaxed LaPmGe2Pd5 crystal.

Lattice parameters (Å, degrees): 4.3293 4.3293 9.1513 90.00 90.00 90.00
With the nearest neighbours (Å) after each atom.
Element x y z (fractional)
Pd 0.5000 0.0000 0.7284  2 Ge 2.50
Pd 0.5000 0.0000 0.2716  2 Ge 2.50
Pd 0.0000 0.5000 0.2716  2 Ge 2.50
Pd 0.0000 0.5000 0.7284  2 Ge 2.50
Pd 0.5000 0.5000 0.5000  8 Pd 3.01, 4 La 3.06, 2 Ge 3.34
Ge 0.5000 0.5000 0.1356  1 Ge 2.48, 4 Pd 2.50
Ge 0.5000 0.5000 0.8644  1 Ge 2.48, 4 Pd 2.50
La 0.0000 0.0000 0.5000  12 Pd 3.01-3.06
Pm 0.0000 0.0000 0.0000  8 Pd 3.30, 8 Ge 3.30

Output
- energy relative to the elements (eV per atom) = -0.8098
- mass density (g/cm3) = 9.31
- space-group type = No. 123



[2]
Density functional theory data (PBE-GGA) for a relaxed LaPmGePd crystal.

Lattice parameters (Å, degrees): 4.1851 4.4298 5.9535 90.00 110.58 90.00
With the nearest neighbours (Å) after each atom.
Element x y z (fractional)
Ge 0.5745 0.5000 0.1489  2 Pd 2.79
La 0.1392 0.0000 0.2784  4 Ge 3.13, 3 Pd 3.15-3.20
Pd 0.4219 0.0000 0.8438  2 Ge 2.79, 4 Pm 3.11
Pm 0.8644 0.5000 0.7289  4 Pd 3.11, 3 Ge 3.14-3.23

Output
- energy relative to the elements (eV per atom) = -0.8206
- energy above the lowest structure with this stoichiometry (eV/f.u.) = 0.00
- mass density (g/cm3) = 7.44
- space-group type = No. 38



[3]
Density functional theory data (PBE-GGA) for a relaxed LaPr2Ge2Pd2 crystal.

Lattice parameters (Å, degrees): 4.5282 4.5282 10.0659 77.00 77.00 60.00
With the nearest neighbours (Å) after each atom.
Element x y z (fractional)
Pr 0.1247 0.1247 0.6258  3 Ge 3.01, 3 Pd 3.14
Pr 0.8753 0.8753 0.3742  3 Ge 3.01, 3 Pd 3.14
La 0.0000 0.0000 0.0000  6 Pd 3.23, 6 Ge 3.38
Ge 0.2599 0.2599 0.2203  3 Pd 2.63
Ge 0.7401 0.7401 0.7797  3 Pd 2.63
Pd 0.3984 0.3984 0.8048  3 Ge 2.63
Pd 0.6016 0.6016 0.1952  3 Ge 2.63

Output
- energy relative to the elements (eV per atom) = -0.8020
- mass density (g/cm3) = 7.49
- space-group type = No. 166



[4]
Density functional theory data (PBE-GGA) for a relaxed La2PrGe2Pd7 crystal.

Lattice parameters (Å, degrees): 4.2011 4.2011 14.1073 84.22 84.22 89.16
With the nearest neighbours (Å) after each atom.
Element x y z (fractional)
Pd 0.4477 0.9464 0.1556  2 Ge 2.49
Pd 0.5523 0.0536 0.8444  2 Ge 2.49
Pd 0.0536 0.5523 0.8444  2 Ge 2.49
Pd 0.6326 0.6326 0.5694  1 Ge 2.51, 1 Pd 2.69
Pd 0.9464 0.4477 0.1556  2 Ge 2.49
Pd 0.3674 0.3674 0.4306  1 Ge 2.51, 1 Pd 2.69
Pd 0.5000 0.5000 0.0000  4 Pr 2.95-2.99, 8 Pd 3.02-3.03
Ge 0.5855 0.5855 0.7491  5 Pd 2.49-2.51
Ge 0.4145 0.4145 0.2509  5 Pd 2.49-2.51
Pr 0.0000 0.0000 0.0000  12 Pd 2.95-3.02
La 0.8884 0.8884 0.3530  9 Pd 3.14-3.48, 4 Ge 3.27-3.36
La 0.1116 0.1116 0.6470  9 Pd 3.14-3.48, 4 Ge 3.27-3.36

Output
- energy relative to the elements (eV per atom) = -0.7944
- mass density (g/cm3) = 8.82
- space-group type = No. 12



[5]
Density functional theory data (PBE-GGA) for a relaxed La3Ge6Pd2Pt crystal.

Lattice parameters (Å, degrees): 6.0854 6.0854 8.3004 90.00 90.00 120.00
With the nearest neighbours (Å) after each atom.
Element x y z (fractional)
Ge 0.1888 0.3776 0.2923  1 Pt 2.63, 2 Ge 2.64, 1 Pd 2.65
Ge 0.1888 0.8112 0.2923  1 Pt 2.63, 2 Ge 2.64, 1 Pd 2.65
Ge 0.3776 0.1888 0.7077  1 Pt 2.63, 2 Ge 2.64, 1 Pd 2.65
Ge 0.6224 0.8112 0.2923  1 Pt 2.63, 2 Ge 2.64, 1 Pd 2.65
Ge 0.8112 0.6224 0.7077  1 Pt 2.63, 2 Ge 2.64, 1 Pd 2.65
Ge 0.8112 0.1888 0.7077  1 Pt 2.63, 2 Ge 2.64, 1 Pd 2.65
La 0.3333 0.6667 0.6411  9 Ge 3.10-3.27, 1 Pd 3.23
La 0.0000 0.0000 0.0000  6 Ge 3.14
La 0.6667 0.3333 0.3589  9 Ge 3.10-3.27, 1 Pd 3.23
Pd 0.6667 0.3333 0.9693  3 Ge 2.65
Pd 0.3333 0.6667 0.0307  3 Ge 2.65
Pt 0.0000 0.0000 0.5000  6 Ge 2.63

Output
- energy relative to the elements (eV per atom) = -0.5206
- mass density (g/cm3) = 7.86
- space-group type = No. 164



[6]
Density functional theory data (PBE-GGA) for a relaxed La2Ge4Pd3Pt crystal.

Lattice parameters (Å, degrees): 4.3913 4.3913 10.2639 90.00 90.00 90.00
With the nearest neighbours (Å) after each atom.
Element x y z (fractional)
La 0.0000 0.5000 0.2494  8 Ge 3.35-3.36, 2 Pt 3.37, 6 Pd 3.37-3.38
La 0.5000 0.0000 0.7506  8 Ge 3.35-3.36, 2 Pt 3.37, 6 Pd 3.37-3.38
Pt 0.5000 0.5000 0.0000  4 Ge 2.55
Ge 0.5000 0.0000 0.3739  1 Ge 2.54, 4 Pd 2.55
Ge 0.0000 0.5000 0.6261  1 Ge 2.54, 4 Pd 2.55
Ge 0.0000 0.5000 0.8732  1 Ge 2.54, 2 Pd 2.55, 2 Pt 2.55
Ge 0.5000 0.0000 0.1268  1 Ge 2.54, 2 Pd 2.55, 2 Pt 2.55
Pd 0.0000 0.0000 0.5000  4 Ge 2.55
Pd 0.0000 0.0000 0.0000  4 Ge 2.55
Pd 0.5000 0.5000 0.5000  4 Ge 2.55

Output
- energy relative to the elements (eV per atom) = -0.8697
- energy above the lowest structure with this stoichiometry (eV/f.u.) = 0.11
- mass density (g/cm3) = 9.08
- space-group type = No. 115



[7]
Density functional theory data (PBE-GGA) for a relaxed LaGe2PdPt5 crystal.

Lattice parameters (Å, degrees): 4.1355 4.1355 9.5779 90.00 90.00 90.00
With the nearest neighbours (Å) after each atom.
Element x y z (fractional)
Pt 0.5000 0.0000 0.7353  2 Ge 2.47
Pt 0.0000 0.5000 0.2647  2 Ge 2.47
Pt 0.5000 0.5000 0.5000  4 La 2.92, 8 Pt 3.06
Pt 0.5000 0.0000 0.2647  2 Ge 2.47
Pt 0.0000 0.5000 0.7353  2 Ge 2.47
Ge 0.5000 0.5000 0.1243  1 Ge 2.38, 4 Pt 2.47
Ge 0.5000 0.5000 0.8757  1 Ge 2.38, 4 Pt 2.47
Pd 0.0000 0.0000 0.0000  8 Ge 3.16, 8 Pt 3.27
La 0.0000 0.0000 0.5000  12 Pt 2.92-3.06

Output
- energy relative to the elements (eV per atom) = -0.5271
- mass density (g/cm3) = 13.85
- space-group type = No. 123



[8]
Density functional theory data (PBE-GGA) for a relaxed La2Ge3Pd4Pt crystal.

Lattice parameters (Å, degrees): 4.2858 4.2858 10.8247 90.00 90.00 90.00
With the nearest neighbours (Å) after each atom.
Element x y z (fractional)
Pd 0.5000 0.5000 0.0000  4 Ge 2.52
Pd 0.5000 0.0000 0.6505  3 Ge 2.45-2.69, 2 Pt 2.69
Pd 0.0000 0.0000 0.0000  4 Ge 2.52
Pd 0.0000 0.5000 0.3495  3 Ge 2.45-2.69, 2 Pt 2.69
Pt 0.5000 0.5000 0.5000  4 Pd 2.69
La 0.5000 0.0000 0.2625  4 Pd 3.17, 6 Ge 3.35-3.39, 2 Pt 3.35
La 0.0000 0.5000 0.7375  4 Pd 3.17, 6 Ge 3.35-3.39, 2 Pt 3.35
Ge 0.5000 0.0000 0.8770  5 Pd 2.45-2.52
Ge 0.0000 0.5000 0.1230  5 Pd 2.45-2.52
Ge 0.0000 0.0000 0.5000  4 Pd 2.69

Output
- energy relative to the elements (eV per atom) = -0.8045
- mass density (g/cm3) = 9.32
- space-group type = No. 115



[9]
Density functional theory data (PBE-GGA) for a relaxed La2Ge4Pd3Pt crystal.

Lattice parameters (Å, degrees): 4.4127 4.4127 10.1710 90.00 90.00 90.00
With the nearest neighbours (Å) after each atom.
Element x y z (fractional)
Pt 0.5000 0.5000 0.5000  4 Ge 2.56
Ge 0.5000 0.0000 0.6280  3 Pd 2.49-2.56, 2 Pt 2.56
Ge 0.0000 0.5000 0.3720  3 Pd 2.49-2.56, 2 Pt 2.56
Ge 0.0000 0.0000 0.0000  4 Pd 2.56
Ge 0.5000 0.5000 0.0000  4 Pd 2.56
Pd 0.0000 0.0000 0.5000  4 Ge 2.56
Pd 0.5000 0.0000 0.8730  5 Ge 2.49-2.56
Pd 0.0000 0.5000 0.1270  5 Ge 2.49-2.56
La 0.0000 0.5000 0.7528  8 Ge 3.35-3.37, 6 Pd 3.35-3.39, 2 Pt 3.39
La 0.5000 0.0000 0.2472  8 Ge 3.35-3.37, 6 Pd 3.35-3.39, 2 Pt 3.39

Output
- energy relative to the elements (eV per atom) = -0.8804
- energy above the lowest structure with this stoichiometry (eV/f.u.) = 0.00
- mass density (g/cm3) = 9.08
- space-group type = No. 115



[10]
Density functional theory data (PBE-GGA) for a relaxed La2Ge4PdPt3 crystal.

Lattice parameters (Å, degrees): 4.4353 4.4353 10.0681 90.00 90.00 90.00
With the nearest neighbours (Å) after each atom.
Element x y z (fractional)
La 0.0000 0.5000 0.7526  8 Ge 3.34-3.38, 6 Pt 3.37, 2 Pd 3.37
La 0.5000 0.0000 0.2474  8 Ge 3.34-3.38, 6 Pt 3.37, 2 Pd 3.37
Pt 0.0000 0.5000 0.1243  5 Ge 2.49-2.55
Pt 0.5000 0.0000 0.8757  5 Ge 2.49-2.55
Pt 0.0000 0.0000 0.5000  4 Ge 2.57
Ge 0.5000 0.0000 0.6280  3 Pt 2.49-2.57, 2 Pd 2.57
Ge 0.0000 0.5000 0.3720  3 Pt 2.49-2.57, 2 Pd 2.57
Ge 0.0000 0.0000 0.0000  4 Pt 2.55
Ge 0.5000 0.5000 0.0000  4 Pt 2.55
Pd 0.5000 0.5000 0.5000  4 Ge 2.57

Output
- energy relative to the elements (eV per atom) = -0.9683
- mass density (g/cm3) = 10.56
- space-group type = No. 115



[11]
Density functional theory data (PBE-GGA) for a relaxed La3Ge6Pd4Pt2 crystal.

Lattice parameters (Å, degrees): 4.4282 4.4282 30.3015 90.00 90.00 90.00
With the nearest neighbours (Å) after each atom.
Element x y z (fractional)
La 0.5000 0.5000 0.7513  8 Ge 3.32-3.38, 8 Pd 3.36-3.39
La 0.0000 0.0000 0.9160  8 Ge 3.35-3.37, 4 Pt 3.36, 4 Pd 3.38
La 0.0000 0.0000 0.2488  8 Ge 3.33-3.38, 4 Pt 3.37, 4 Pd 3.38
La 0.5000 0.5000 0.4179  8 Ge 3.32-3.38, 8 Pd 3.36-3.39
La 0.0000 0.0000 0.5824  8 Ge 3.35-3.38, 4 Pt 3.36, 4 Pd 3.38
La 0.5000 0.5000 0.0842  8 Ge 3.34-3.37, 4 Pt 3.37, 4 Pd 3.37
Ge 0.0000 0.5000 0.1666  4 Pt 2.55
Ge 0.5000 0.0000 0.8331  2 Pd 2.55, 2 Pt 2.56
Ge 0.0000 0.5000 0.4997  2 Pd 2.55, 2 Pt 2.56
Ge 0.0000 0.0000 0.3756  5 Pd 2.50-2.56
Ge 0.5000 0.0000 0.4997  2 Pd 2.55, 2 Pt 2.56
Ge 0.0000 0.0000 0.7092  5 Pd 2.50-2.56
Ge 0.0000 0.0000 0.0428  1 Pt 2.50, 4 Pd 2.56
Ge 0.5000 0.5000 0.6242  1 Pt 2.49, 4 Pd 2.56
Ge 0.0000 0.5000 0.8331  2 Pd 2.55, 2 Pt 2.56
Ge 0.5000 0.5000 0.9575  1 Pt 2.49, 4 Pd 2.56
Ge 0.5000 0.0000 0.1666  4 Pt 2.55
Ge 0.5000 0.5000 0.2907  1 Pt 2.50, 4 Pd 2.56
Pd 0.5000 0.0000 0.6668  4 Ge 2.56
Pd 0.0000 0.0000 0.4581  5 Ge 2.50-2.55
Pd 0.5000 0.0000 0.0002  4 Ge 2.56
Pd 0.0000 0.5000 0.3331  4 Ge 2.56
Pd 0.0000 0.5000 0.6668  4 Ge 2.56
Pd 0.0000 0.5000 0.0002  4 Ge 2.56
Pd 0.5000 0.0000 0.3331  4 Ge 2.56
Pd 0.0000 0.0000 0.7916  5 Ge 2.50-2.55
Pt 0.5000 0.5000 0.8754  5 Ge 2.49-2.56
Pt 0.0000 0.0000 0.1251  5 Ge 2.50-2.55
Pt 0.5000 0.5000 0.2081  5 Ge 2.50-2.55
Pt 0.5000 0.5000 0.5420  5 Ge 2.49-2.56

Output
- energy relative to the elements (eV per atom) = -0.9166
- mass density (g/cm3) = 9.33
- space-group type = No. 99



[12]
Density functional theory data (PBE-GGA) for a relaxed La2GePdPt6 crystal.

Lattice parameters (Å, degrees): 5.4319 8.7649 6.5961 51.35 65.68 90.01
With the nearest neighbours (Å) after each atom.
Element x y z (fractional)
La 0.7332 0.1970 0.5337  7 Pt 3.08-3.33, 2 Pd 3.40
La 0.2668 0.8030 0.4663  7 Pt 3.08-3.33, 2 Pd 3.40
Pt 0.2502 0.4077 0.5004  1 Ge 2.52, 1 Pd 2.66, 4 Pt 2.74-2.78
Pt 0.2370 0.2556 0.0172  1 Ge 2.49, 4 Pt 2.67-2.78, 1 Pd 2.67
Pt 0.7460 0.2559 0.0165  1 Ge 2.49, 4 Pt 2.67-2.78, 1 Pd 2.67
Pt 0.7630 0.7444 0.9828  1 Ge 2.49, 4 Pt 2.67-2.78, 1 Pd 2.67
Pt 0.2540 0.7441 0.9835  1 Ge 2.49, 4 Pt 2.67-2.78, 1 Pd 2.67
Pt 0.7498 0.5923 0.4996  1 Ge 2.52, 1 Pd 2.66, 4 Pt 2.74-2.78
Pd 0.0000 0.0000 0.0000  6 Pt 2.66-2.67
Ge 0.5000 0.5000 0.0000  6 Pt 2.49-2.52

Output
- energy relative to the elements (eV per atom) = -0.7899
- mass density (g/cm3) = 12.97
- space-group type = No. 12